(1)
Co2NiRh: relaxed, GGA-PBE.

Results
Fermi-level density of states ... 4.76 states/eV per cell
Uncorrected energy ... -6.807 eV/atom
ΔE_f ... 0.029 eV/atom

Lattice parameters (Å, degrees): 4.444 4.444 4.444 131.75 131.75 70.62
Site moments in Bohr magnetons follow the coordinates.
Sites, in units of the cell vectors:
Ni (0.250, 0.750, 0.500)  0.81
Rh (0.750, 0.250, 0.500)  0.77
Co (0.000, 0.000, 0.000)  1.81
Co (0.500, 0.500, 0.000)  1.81

---

(2)
Co3Ni2Rh2: relaxed, GGA-PBE.

Results
Polymorph energy (0 for the lowest one) ... 0.000 eV per atom
Fermi-level density of states ... 9.83 states/eV per cell
Uncorrected energy ... -6.766 eV/atom
ΔE_f ... 0.031 eV/atom

Lattice parameters (Å, degrees): 4.459 4.460 6.857 70.75 122.94 132.11
Site moments in Bohr magnetons follow the coordinates.
Sites, in units of the cell vectors:
Co (0.000, 0.000, 0.000)  1.84
Co (0.573, 0.284, 0.859)  1.83
Co (0.427, 0.716, 0.141)  1.83
Ni (0.281, 0.147, 0.426)  0.80
Ni (0.719, 0.853, 0.574)  0.80
Rh (0.851, 0.428, 0.279)  0.78
Rh (0.149, 0.572, 0.721)  0.78

---

(3)
CoNiRh: relaxed, GGA-PBE.

Results
Polymorph energy (0 for the lowest one) ... 0.002 eV per atom
Fermi-level density of states ... 14.72 states/eV per cell
Uncorrected energy ... -6.701 eV/atom
ΔE_f ... 0.045 eV/atom

Lattice parameters (Å, degrees): 2.654 8.782 6.307 90.00 90.00 90.00
Site moments in Bohr magnetons follow the coordinates.
Sites, in units of the cell vectors:
Ni (0.250, 0.284, 0.634)  0.83
Ni (0.750, 0.716, 0.366)  0.83
Ni (0.250, 0.216, 0.134)  0.83
Ni (0.750, 0.784, 0.866)  0.83
Rh (0.250, 0.576, 0.661)  0.74
Rh (0.750, 0.424, 0.339)  0.74
Rh (0.250, 0.924, 0.161)  0.74
Rh (0.750, 0.076, 0.839)  0.74
Co (0.250, 0.602, 0.074)  1.88
Co (0.750, 0.398, 0.926)  1.88
Co (0.250, 0.898, 0.574)  1.88
Co (0.750, 0.102, 0.426)  1.88